[1]
## Na5CrP2O8F2 (PBE with a Hubbard U)

Data for crystalline Na5CrP2O8F2 at its relaxed geometry.

Cell lengths 10.7046, 10.7046, 6.7637 Å; angles 90.00, 90.00, 120.00 degrees
Fractional coordinates of all 54 atoms:
Na 0.0000 0.0000 0.0000
Na 0.0000 0.0000 0.5000
Na 0.0000 0.5000 0.0000
Na 0.1428 0.8271 0.2578
Na 0.1729 0.3157 0.2578
Na 0.3157 0.1428 0.7422
Na 0.3333 0.6667 0.0655
Na 0.3333 0.6667 0.5054
Na 0.5000 0.0000 0.0000
Na 0.5000 0.5000 0.0000
Na 0.6667 0.3333 0.4946
Na 0.6667 0.3333 0.9345
Na 0.6843 0.8572 0.2578
Na 0.8271 0.6843 0.7422
Na 0.8572 0.1729 0.7422
Cr 0.0000 0.5000 0.5000
Cr 0.5000 0.0000 0.5000
Cr 0.5000 0.5000 0.5000
P 0.1830 0.8137 0.7497
P 0.1863 0.3693 0.7497
P 0.3693 0.1830 0.2503
P 0.6307 0.8170 0.7497
P 0.8137 0.6307 0.2503
P 0.8170 0.1863 0.2503
O 0.0741 0.4212 0.7119
O 0.0936 0.8910 0.7439
O 0.1090 0.2026 0.7439
O 0.1382 0.7038 0.5735
O 0.1714 0.7399 0.9489
O 0.2026 0.0936 0.2561
O 0.2601 0.4315 0.9489
O 0.2962 0.4344 0.5735
O 0.3471 0.9259 0.7119
O 0.4212 0.3471 0.2881
O 0.4315 0.1714 0.0511
O 0.4344 0.1382 0.4265
O 0.5656 0.8618 0.5735
O 0.5685 0.8286 0.9489
O 0.5788 0.6529 0.7119
O 0.6529 0.0741 0.2881
O 0.7038 0.5656 0.4265
O 0.7399 0.5685 0.0511
O 0.7974 0.9064 0.7439
O 0.8286 0.2601 0.0511
O 0.8618 0.2962 0.4265
O 0.8910 0.7974 0.2561
O 0.9064 0.1090 0.2561
O 0.9259 0.5788 0.2881
F 0.1398 0.5167 0.2964
F 0.3769 0.8602 0.2964
F 0.4833 0.6231 0.2964
F 0.5167 0.3769 0.7036
F 0.6231 0.1398 0.7036
F 0.8602 0.4833 0.7036

Computed properties:
The crystal system is trigonal. The value obtained for the total energy is -6.1342 eV per atom. The density of states at the Fermi level comes out at 0.000 states/eV/cell.

=====

[2]
## NaCr2PbF6 (PBE with a Hubbard U)

Data for crystalline NaCr2PbF6 at its relaxed geometry.

Cell lengths 5.8438, 5.9180, 6.0416 Å; angles 61.98, 62.51, 61.24 degrees
Fractional coordinates of all 10 atoms:
Na 0.0000 0.0000 0.0000
Cr 0.2928 0.2924 0.2892
Cr 0.7662 0.7767 0.7858
Pb 0.5056 0.5202 0.5345
F 0.0172 0.4235 0.7056
F 0.0861 0.9240 0.5946
F 0.4325 0.6667 0.9560
F 0.5393 0.1049 0.9229
F 0.6426 0.0523 0.3868
F 0.9451 0.5467 0.1777

Computed properties:
The crystal system is triclinic. The value obtained for the total energy is -5.4010 eV per atom. The density of states at the Fermi level comes out at 0.779 states/eV/cell.

=====

[3]
## NaCrPb2F8 (PBE with a Hubbard U)

Data for crystalline NaCrPb2F8 at its relaxed geometry.

Cell lengths 5.1512, 5.3117, 7.4150 Å; angles 89.40, 89.69, 89.20 degrees
Fractional coordinates of all 12 atoms:
Na 0.0000 0.0000 0.0000
Cr 0.0000 0.0000 0.5000
Pb 0.4653 0.5201 0.7462
Pb 0.5347 0.4799 0.2538
F 0.1621 0.1998 0.3055
F 0.2070 0.1319 0.6996
F 0.2550 0.7307 0.4632
F 0.2965 0.6902 0.0262
F 0.7035 0.3098 0.9738
F 0.7450 0.2693 0.5368
F 0.7930 0.8681 0.3004
F 0.8379 0.8002 0.6945

Computed properties:
The crystal system is triclinic. The value obtained for the total energy is -5.1649 eV per atom. The density of states at the Fermi level comes out at 0.000 states/eV/cell.

=====

[4]
## NaCr2PdF (PBE with a Hubbard U)

Data for crystalline NaCr2PdF at its relaxed geometry.

Cell lengths 4.4809, 4.4809, 4.3048 Å; angles 90.00, 90.00, 90.00 degrees
Fractional coordinates of all 5 atoms:
Na 0.0000 0.0000 0.0000
Cr 0.0000 0.5000 0.5000
Cr 0.5000 0.0000 0.5000
Pd 0.5000 0.5000 0.0000
F 0.0000 0.0000 0.5000

Computed properties:
The crystal system is tetragonal. The value obtained for the total energy is -5.0665 eV per atom. The density of states at the Fermi level comes out at 1.801 states/eV/cell.

=====

[5]
## NaPmCrF6 (PBE with a Hubbard U)

Data for crystalline NaPmCrF6 at its relaxed geometry.

Cell lengths 5.5997, 5.5997, 10.1145 Å; angles 90.00, 90.00, 120.00 degrees
Fractional coordinates of all 18 atoms:
Na 0.3333 0.6667 0.2500
Na 0.6667 0.3333 0.7500
Pm 0.0000 0.0000 0.0000
Pm 0.0000 0.0000 0.5000
Cr 0.3333 0.6667 0.7500
Cr 0.6667 0.3333 0.2500
F 0.0252 0.3445 0.6319
F 0.0252 0.6807 0.8681
F 0.3193 0.3445 0.8681
F 0.3193 0.9748 0.6319
F 0.3445 0.0252 0.1319
F 0.3445 0.3193 0.3681
F 0.6555 0.6807 0.6319
F 0.6555 0.9748 0.8681
F 0.6807 0.0252 0.3681
F 0.6807 0.6555 0.1319
F 0.9748 0.3193 0.1319
F 0.9748 0.6555 0.3681

Computed properties:
The crystal system is trigonal. The value obtained for the total energy is -5.9438 eV per atom. The density of states at the Fermi level comes out at 12.283 states/eV/cell.

=====

[6]
## Na2PuCrF8 (PBE with a Hubbard U)

Data for crystalline Na2PuCrF8 at its relaxed geometry.

Cell lengths 3.8059, 5.4466, 8.0981 Å; angles 93.30, 90.11, 92.05 degrees
Fractional coordinates of all 12 atoms:
Na 0.0051 0.4698 0.2205
Na 0.9949 0.5302 0.7795
Pu 0.5000 0.0000 0.5000
Cr 0.5000 0.0000 0.0000
F 0.0016 0.7797 0.5498
F 0.0727 0.7764 0.0307
F 0.4821 0.1639 0.2265
F 0.4820 0.3059 0.6865
F 0.5180 0.6941 0.3135
F 0.5179 0.8361 0.7735
F 0.9273 0.2236 0.9693
F 0.9984 0.2203 0.4502

Computed properties:
The crystal system is triclinic. The value obtained for the total energy is -6.3036 eV per atom. The density of states at the Fermi level comes out at 9.247 states/eV/cell.

=====

[7]
## NaPuCrF6 (PBE with a Hubbard U)

Data for crystalline NaPuCrF6 at its relaxed geometry.

Cell lengths 5.8633, 5.8633, 9.1255 Å; angles 90.00, 90.00, 120.00 degrees
Fractional coordinates of all 18 atoms:
Na 0.3333 0.6667 0.2500
Na 0.6667 0.3333 0.7500
Pu 0.3333 0.6667 0.7500
Pu 0.6667 0.3333 0.2500
Cr 0.0000 0.0000 0.0000
Cr 0.0000 0.0000 0.5000
F 0.0037 0.3153 0.6237
F 0.0037 0.6884 0.8763
F 0.3116 0.3153 0.8763
F 0.3116 0.9963 0.6237
F 0.3153 0.0037 0.1237
F 0.3153 0.3116 0.3763
F 0.6847 0.6884 0.6237
F 0.6847 0.9963 0.8763
F 0.6884 0.0037 0.3763
F 0.6884 0.6847 0.1237
F 0.9963 0.3116 0.1237
F 0.9963 0.6847 0.3763

Computed properties:
The crystal system is trigonal. The value obtained for the total energy is -6.5335 eV per atom. The density of states at the Fermi level comes out at 12.873 states/eV/cell.

=====

[8]
## Rb3Na2CrF9 (PBE with a Hubbard U)

Data for crystalline Rb3Na2CrF9 at its relaxed geometry.

Cell lengths 6.1164, 6.1164, 7.6284 Å; angles 90.00, 90.00, 120.00 degrees
Fractional coordinates of all 15 atoms:
Rb 0.0000 0.0000 0.0000
Rb 0.3333 0.6667 0.7021
Rb 0.6667 0.3333 0.2979
Na 0.3333 0.6667 0.1794
Na 0.6667 0.3333 0.8206
Cr 0.0000 0.0000 0.5000
F 0.0000 0.5000 0.0000
F 0.1477 0.2954 0.3572
F 0.1477 0.8523 0.3572
F 0.2954 0.1477 0.6428
F 0.5000 0.0000 0.0000
F 0.5000 0.5000 0.0000
F 0.7046 0.8523 0.3572
F 0.8523 0.1477 0.6428
F 0.8523 0.7046 0.6428

Computed properties:
The crystal system is trigonal. The value obtained for the total energy is -4.6486 eV per atom. The density of states at the Fermi level comes out at 12.480 states/eV/cell.